BaLiCd2 | SCAN | PBEsol geometry

```
BaLiCd2
1.0
-0.079 -0.329 3.607
2.137 -3.089 -0.235
6.445 4.417 0.544
Cd Ba Li
2 1 1
direct
0.000 0.000 0.815 Cd
0.000 0.000 0.185 Cd
0.500 0.500 0.500 Ba
0.500 0.500 0.000 Li
```

Properties
raw total energy	-25.93	eV per atom
formation energy	-0.24	eV/atom
energy above the most stable polymorph in this dataset	0.361	eV per formula unit
SG	Pmmm
total magnetic moment	0.00	μB per atom